i | Density functional theory data (PBE-GGA) for LaMgF2 after structural relaxation.

a = 7.8441 Å, b = 7.8441 Å, c = 7.8441 Å
α = 25.09°, β = 25.09°, γ = 25.09°
Closest atoms and distances in Å follow each position.
Atoms (fractional coordinates):
F: 0.9080 0.9080 0.9080  1 Mg 2.10
Mg: 0.0000 0.0000 0.0000  2 F 2.10
La: 0.5000 0.5000 0.5000  6 F 2.60
F: 0.0920 0.0920 0.0920  1 Mg 2.10

Output
density: 4.38 g/cm³
symmetry: R-3m
V: 76.3 Å³ per cell

=====

ii | Density functional theory data (PBE-GGA) for LaMgF2 after structural relaxation.

a = 4.6905 Å, b = 4.6905 Å, c = 4.6905 Å
α = 60.00°, β = 60.00°, γ = 60.00°
Closest atoms and distances in Å follow each position.
Atoms (fractional coordinates):
Mg: 0.0000 0.0000 0.0000  8 F 2.87
F: 0.2500 0.2500 0.2500  4 La 2.87, 4 Mg 2.87
F: 0.7500 0.7500 0.7500  4 Mg 2.87, 4 La 2.87
La: 0.5000 0.5000 0.5000  8 F 2.87

Output
density: 4.58 g/cm³
symmetry: Fm-3m
V: 73.0 Å³ per cell

=====

iii | Density functional theory data (PBE-GGA) for LaMgF2 after structural relaxation.

a = 5.3905 Å, b = 5.3905 Å, c = 6.7733 Å
α = 66.55°, β = 66.55°, γ = 90.00°
Closest atoms and distances in Å follow each position.
Atoms (fractional coordinates):
La: 0.7500 0.2500 0.5000  4 F 2.63
La: 0.0000 0.0000 0.0000  4 F 2.63
Mg: 0.5000 0.5000 0.0000  4 F 2.15
Mg: 0.2500 0.7500 0.5000  4 F 2.15
F: 0.5455 0.1250 0.2500  2 Mg 2.15
F: 0.2045 0.6250 0.2500  2 Mg 2.15
F: 0.8750 0.7955 0.7500  2 Mg 2.15
F: 0.3750 0.4545 0.7500  2 Mg 2.15

Output
density: 4.11 g/cm³
symmetry: I-42d
V: 162.7 Å³ per cell

=====

Winner for stability: i

=====

i | Density functional theory data (PBE-GGA) for LaMg3F after structural relaxation.

a = 6.5872 Å, b = 6.5872 Å, c = 6.5872 Å
α = 90.00°, β = 90.00°, γ = 90.00°
Closest atoms and distances in Å follow each position.
Atoms (fractional coordinates):
F: 0.5000 0.5000 0.5000  12 Mg 4.66
Mg: 0.0000 0.0000 0.5000  2 La 3.29
Mg: 0.0000 0.5000 0.0000  2 La 3.29
Mg: 0.5000 0.0000 0.0000  2 La 3.29
La: 0.0000 0.0000 0.0000  6 Mg 3.29

Output
density: 1.34 g/cm³
symmetry: Pm-3m
V: 285.8 Å³ per cell

=====

ii | Density functional theory data (PBE-GGA) for LaMg3F after structural relaxation.

a = 4.9218 Å, b = 4.9218 Å, c = 4.9218 Å
α = 90.00°, β = 90.00°, γ = 90.00°
Closest atoms and distances in Å follow each position.
Atoms (fractional coordinates):
La: 0.5000 0.5000 0.5000  12 Mg 3.48
Mg: 0.0000 0.5000 0.0000  2 F 2.46
Mg: 0.5000 0.0000 0.0000  2 F 2.46
F: 0.0000 0.0000 0.0000  6 Mg 2.46
Mg: 0.0000 0.0000 0.5000  2 F 2.46

Output
density: 3.21 g/cm³
symmetry: Pm-3m
V: 119.2 Å³ per cell

=====

Winner for stability: ii

=====

i | Density functional theory data (PBE-GGA) for LaMgNF2 after structural relaxation.

a = 3.8201 Å, b = 3.8201 Å, c = 4.5297 Å
α = 90.00°, β = 90.00°, γ = 90.00°
Closest atoms and distances in Å follow each position.
Atoms (fractional coordinates):
N: 0.0000 0.0000 0.5000  2 Mg 2.26
F: 0.5000 0.0000 0.0000  2 Mg 1.91
F: 0.0000 0.5000 0.0000  2 Mg 1.91
Mg: 0.0000 0.0000 0.0000  4 F 1.91
La: 0.5000 0.5000 0.5000  4 N 2.70, 8 F 2.96

Output
density: 5.41 g/cm³
symmetry: P4/mmm
V: 66.1 Å³ per cell

=====

ii | Density functional theory data (PBE-GGA) for LaMgNF2 after structural relaxation.

a = 4.6017 Å, b = 4.6017 Å, c = 4.8301 Å
α = 90.00°, β = 90.00°, γ = 90.00°
Closest atoms and distances in Å follow each position.
Atoms (fractional coordinates):
F: 0.0000 0.5000 0.0000  2 La 2.30
N: 0.0000 0.0000 0.5000  2 La 2.42
Mg: 0.5000 0.5000 0.5000  4 N 3.25, 8 F 3.34
F: 0.5000 0.0000 0.0000  2 La 2.30
La: 0.0000 0.0000 0.0000  4 F 2.30, 2 N 2.42

Output
density: 3.49 g/cm³
symmetry: P4/mmm
V: 102.3 Å³ per cell

=====

Winner for stability: i